! Hf4TiGa2 PBE optimized geometry; values from VASP
&SYSTEM
  ibrav = 0, nat = 7, ntyp = 3
/
ATOMIC_SPECIES
Hf 178.49 Hf.upf
Ti 47.87 Ti.upf
Ga 69.72 Ga.upf
CELL_PARAMETERS angstrom
2.3916 1.3808 7.6283
-2.3916 1.3808 7.6283
0.0000 -2.7616 7.6283
ATOMIC_POSITIONS crystal
Hf 0.1315 0.1315 0.1315
Hf 0.2668 0.2668 0.2668
Hf 0.7332 0.7332 0.7332
Hf 0.8685 0.8685 0.8685
Ti 0.5000 0.5000 0.5000
Ga 0.3871 0.3871 0.3871
Ga 0.6129 0.6129 0.6129
! Formation energy (eV per atom): 0.030
! Total energy (eV per cell): -53.554
! DOS at the Fermi energy (states/eV per atom): 0.9801
! Space group: R-3m (166)

---

! HfTi4Ga PBE optimized geometry; values from VASP
&SYSTEM
  ibrav = 0, nat = 12, ntyp = 3
/
ATOMIC_SPECIES
Hf 178.49 Hf.upf
Ti 47.87 Ti.upf
Ga 69.72 Ga.upf
CELL_PARAMETERS angstrom
0.0000 3.5333 9.6872
3.0901 0.0000 9.6872
3.0901 3.5333 0.0000
ATOMIC_POSITIONS crystal
Hf 0.2476 0.7524 0.2476
Hf 0.7524 0.2476 0.7524
Ti 0.0744 0.5796 0.4204
Ti 0.1801 0.6324 0.8199
Ti 0.3676 0.8199 0.6324
Ti 0.4204 0.9256 0.0744
Ti 0.5796 0.0744 0.9256
Ti 0.6324 0.1801 0.3676
Ti 0.8199 0.3676 0.1801
Ti 0.9256 0.4204 0.5796
Ga 0.0000 0.5000 0.0000
Ga 0.5000 0.0000 0.5000
! Formation energy (eV per atom): -0.127
! Total energy (eV per cell): -90.638
! DOS at the Fermi energy (states/eV per atom): 1.4907
! Space group: Fmmm (69)

---

Among the records above, which one has the lowest formation energy? HfTi4Ga

---

Copy entry 2 word for word.
! HfTi4Ga PBE optimized geometry; values from VASP
&SYSTEM
  ibrav = 0, nat = 12, ntyp = 3
/
ATOMIC_SPECIES
Hf 178.49 Hf.upf
Ti 47.87 Ti.upf
Ga 69.72 Ga.upf
CELL_PARAMETERS angstrom
0.0000 3.5333 9.6872
3.0901 0.0000 9.6872
3.0901 3.5333 0.0000
ATOMIC_POSITIONS crystal
Hf 0.2476 0.7524 0.2476
Hf 0.7524 0.2476 0.7524
Ti 0.0744 0.5796 0.4204
Ti 0.1801 0.6324 0.8199
Ti 0.3676 0.8199 0.6324
Ti 0.4204 0.9256 0.0744
Ti 0.5796 0.0744 0.9256
Ti 0.6324 0.1801 0.3676
Ti 0.8199 0.3676 0.1801
Ti 0.9256 0.4204 0.5796
Ga 0.0000 0.5000 0.0000
Ga 0.5000 0.0000 0.5000
! Formation energy (eV per atom): -0.127
! Total energy (eV per cell): -90.638
! DOS at the Fermi energy (states/eV per atom): 1.4907
! Space group: Fmmm (69)

---

What is the formula in the second record? HfTi4Ga